(w)
# LaPdI2O PBE optimized geometry
# **Calculated volume**: 177.7 Å³/cell
# **N(E_F)**: 7.0 states/eV/cell
data_LaPdI2O
_chemical_formula_sum 'La1 Pd1 I2 O1'
_symmetry_space_group_name_H-M 'P 4/m m m'
_symmetry_Int_Tables_number 123
_symmetry_space_group_name_Hall '-P 4 2'
_cell_length_a 6.456
_cell_length_b 6.456
_cell_length_c 4.263
_cell_angle_alpha 90.00
_cell_angle_beta 90.00
_cell_angle_gamma 90.00
loop_
_atom_site_label
_atom_site_fract_x
_atom_site_fract_y
_atom_site_fract_z
La1 0.000 0.000 0.000
Pd1 0.500 0.500 0.500
I1 0.000 0.500 0.000
O1 0.000 0.000 0.500

***

(x)
# LaPdI2O PBE optimized geometry
# **Calculated volume**: 129.9 Å³/cell
# **N(E_F)**: 5.2 states/eV/cell
data_LaPdI2O
_chemical_formula_sum 'La1 Pd1 I2 O1'
_symmetry_space_group_name_H-M 'P 4/m m m'
_symmetry_Int_Tables_number 123
_symmetry_space_group_name_Hall '-P 4 2'
_cell_length_a 5.696
_cell_length_b 5.696
_cell_length_c 4.005
_cell_angle_alpha 90.00
_cell_angle_beta 90.00
_cell_angle_gamma 90.00
loop_
_atom_site_label
_atom_site_fract_x
_atom_site_fract_y
_atom_site_fract_z
La1 0.000 0.000 0.000
Pd1 0.500 0.500 0.500
I1 0.000 0.500 0.500
O1 0.500 0.500 0.000

***

From most stable to least stable, the computed energies give (w), (x).